## 1
The following is a PBE calculation of crystalline Sn2Pt2I at its relaxed geometry, from Alexandria via LeMat-Bulk.

```
Sn2Pt2I
1.0
3.932 0.000 0.000
0.000 3.932 0.000
0.000 0.000 16.822
Sn Pt I
4 4 2
direct
0.000 0.000 0.134 Sn
0.000 0.000 0.866 Sn
0.500 0.500 0.366 Sn
0.500 0.500 0.634 Sn
0.000 0.500 0.250 Pt
0.000 0.500 0.750 Pt
0.500 0.000 0.250 Pt
0.500 0.000 0.750 Pt
0.000 0.000 0.500 I
0.500 0.500 0.000 I
```

Density of states at the Fermi level, states/eV/cell: 3.984
Size of the total moment, μB/f.u.: 0.0
Mass density, g/cm3: 9.632

## 2
The following is a PBE calculation of crystalline Sn2Pt2I at its relaxed geometry, from Alexandria via LeMat-Bulk.

```
Sn2Pt2I
1.0
7.890 0.000 0.000
0.000 7.890 0.000
0.000 0.000 3.606
Sn Pt I
4 4 2
direct
0.153 0.347 0.000 Sn
0.347 0.847 0.000 Sn
0.653 0.153 0.000 Sn
0.847 0.653 0.000 Sn
0.130 0.630 0.500 Pt
0.370 0.130 0.500 Pt
0.630 0.870 0.500 Pt
0.870 0.370 0.500 Pt
0.000 0.000 0.500 I
0.500 0.500 0.500 I
```

Density of states at the Fermi level, states/eV/cell: 4.130
Size of the total moment, μB/f.u.: 0.0
Mass density, g/cm3: 11.161

## 3
The following is a PBE calculation of crystalline Sn2Pt2I at its relaxed geometry, from Alexandria via LeMat-Bulk.

```
Sn2Pt2I
1.0
4.674 0.000 0.000
0.000 4.674 0.000
0.000 0.000 11.315
Sn Pt I
4 4 2
direct
0.000 0.500 0.250 Sn
0.000 0.500 0.750 Sn
0.500 0.000 0.250 Sn
0.500 0.000 0.750 Sn
0.000 0.000 0.123 Pt
0.000 0.000 0.877 Pt
0.500 0.500 0.377 Pt
0.500 0.500 0.623 Pt
0.000 0.000 0.500 I
0.500 0.500 0.000 I
```

Density of states at the Fermi level, states/eV/cell: 3.479
Size of the total moment, μB/f.u.: 0.0
Mass density, g/cm3: 10.136

It turns out 1 is the most stable, with the second structure 132 meV per atom higher.

## 1
The following is a PBE calculation of crystalline Sr2PtI at its relaxed geometry, from Alexandria via LeMat-Bulk.

```
Sr2PtI
1.0
4.443 0.000 0.000
-2.221 3.848 0.000
0.000 0.000 24.727
Sr Pt I
6 3 3
direct
0.000 0.000 0.232 Sr
0.000 0.000 0.768 Sr
0.333 0.667 0.434 Sr
0.333 0.667 0.899 Sr
0.667 0.333 0.101 Sr
0.667 0.333 0.566 Sr
0.000 0.000 0.500 Pt
0.333 0.667 0.167 Pt
0.667 0.333 0.833 Pt
0.000 0.000 0.000 I
0.333 0.667 0.667 I
0.667 0.333 0.333 I
```

Density of states at the Fermi level, states/eV/cell: 6.575
Size of the total moment, μB/f.u.: 0.0
Mass density, g/cm3: 5.860

## 2
The following is a PBE calculation of crystalline Sr2PtI at its relaxed geometry, from Alexandria via LeMat-Bulk.

```
Sr2PtI
1.0
7.898 0.000 0.000
0.000 7.898 0.000
0.000 0.000 7.898
Sr Pt I
8 4 4
direct
0.250 0.250 0.250 Sr
0.250 0.250 0.750 Sr
0.250 0.750 0.250 Sr
0.250 0.750 0.750 Sr
0.750 0.250 0.250 Sr
0.750 0.250 0.750 Sr
0.750 0.750 0.250 Sr
0.750 0.750 0.750 Sr
0.000 0.000 0.000 Pt
0.000 0.500 0.500 Pt
0.500 0.000 0.500 Pt
0.500 0.500 0.000 Pt
0.000 0.000 0.500 I
0.000 0.500 0.000 I
0.500 0.000 0.000 I
0.500 0.500 0.500 I
```

Density of states at the Fermi level, states/eV/cell: 7.621
Size of the total moment, μB/f.u.: 0.0
Mass density, g/cm3: 6.703

## 3
The following is a PBE calculation of crystalline Sr2PtI at its relaxed geometry, from Alexandria via LeMat-Bulk.

```
Sr2PtI
1.0
4.436 0.000 0.000
-2.218 3.841 0.000
0.000 0.000 24.878
Sr Pt I
6 3 3
direct
0.000 0.000 0.000 Sr
0.000 0.000 0.203 Sr
0.333 0.667 0.667 Sr
0.333 0.667 0.869 Sr
0.667 0.333 0.333 Sr
0.667 0.333 0.536 Sr
0.000 0.000 0.601 Pt
0.333 0.667 0.268 Pt
0.667 0.333 0.934 Pt
0.000 0.000 0.434 I
0.333 0.667 0.100 I
0.667 0.333 0.767 I
```

Density of states at the Fermi level, states/eV/cell: 4.965
Size of the total moment, μB/f.u.: 0.0
Mass density, g/cm3: 5.843

## 4
The following is a PBE calculation of crystalline Sr2PtI at its relaxed geometry, from Alexandria via LeMat-Bulk.

```
Sr2PtI
1.0
3.865 0.000 0.000
0.000 3.865 0.000
0.000 0.000 8.348
Sr Pt I
2 1 1
direct
0.000 0.000 0.205 Sr
0.000 0.000 0.795 Sr
0.500 0.500 0.000 Pt
0.500 0.500 0.500 I
```

Density of states at the Fermi level, states/eV/cell: 1.640
Size of the total moment, μB/f.u.: 0.0
Mass density, g/cm3: 6.620

It turns out 1 is the most stable, with the second structure 8 meV per atom higher.

## 1
The following is a PBE calculation of crystalline SrPtI2 at its relaxed geometry, from Alexandria via LeMat-Bulk.

```
SrPtI2
1.0
7.763 0.000 0.000
0.000 7.763 0.000
0.000 0.000 7.763
Sr Pt I
4 4 8
direct
0.000 0.000 0.000 Sr
0.000 0.500 0.500 Sr
0.500 0.000 0.500 Sr
0.500 0.500 0.000 Sr
0.000 0.000 0.500 Pt
0.000 0.500 0.000 Pt
0.500 0.000 0.000 Pt
0.500 0.500 0.500 Pt
0.250 0.250 0.250 I
0.250 0.250 0.750 I
0.250 0.750 0.250 I
0.250 0.750 0.750 I
0.750 0.250 0.250 I
0.750 0.250 0.750 I
0.750 0.750 0.250 I
0.750 0.750 0.750 I
```

Density of states at the Fermi level, states/eV/cell: 2.796
Size of the total moment, μB/f.u.: 0.0
Mass density, g/cm3: 7.619

## 2
The following is a PBE calculation of crystalline SrPtI2 at its relaxed geometry, from Alexandria via LeMat-Bulk.

```
SrPtI2
1.0
6.008 0.000 0.000
0.000 6.008 0.000
0.000 0.000 16.526
Sr Pt I
4 4 8
direct
0.000 0.000 0.000 Sr
0.000 0.500 0.250 Sr
0.500 0.000 0.750 Sr
0.500 0.500 0.500 Sr
0.000 0.000 0.500 Pt
0.000 0.500 0.750 Pt
0.500 0.000 0.250 Pt
0.500 0.500 0.000 Pt
0.187 0.250 0.625 I
0.250 0.687 0.875 I
0.250 0.813 0.375 I
0.313 0.250 0.125 I
0.687 0.750 0.125 I
0.750 0.187 0.375 I
0.750 0.313 0.875 I
0.813 0.750 0.625 I
```

Density of states at the Fermi level, states/eV/cell: 0.001
Size of the total moment, μB/f.u.: 0.0
Mass density, g/cm3: 5.974

It turns out 2 is the most stable, with the second structure 147 meV per atom higher.

## 1
The following is a PBE calculation of crystalline SrTe2PtI at its relaxed geometry, from Alexandria via LeMat-Bulk.

```
SrTe2PtI
1.0
5.420 0.000 0.000
0.000 5.420 0.000
0.000 0.000 5.564
Sr Te Pt I
1 2 1 1
direct
0.000 0.000 0.000 Sr
0.000 0.500 0.500 Te
0.500 0.000 0.500 Te
0.500 0.500 0.500 Pt
0.500 0.500 0.000 I
```

Density of states at the Fermi level, states/eV/cell: 3.854
Size of the total moment, μB/f.u.: 0.0
Mass density, g/cm3: 6.754

## 2
The following is a PBE calculation of crystalline SrTe2PtI at its relaxed geometry, from Alexandria via LeMat-Bulk.

```
SrTe2PtI
1.0
6.263 0.000 0.000
0.000 6.263 0.000
0.000 0.000 6.099
Sr Te Pt I
1 2 1 1
direct
0.000 0.000 0.000 Sr
0.000 0.500 0.000 Te
0.500 0.000 0.000 Te
0.500 0.500 0.500 Pt
0.000 0.000 0.500 I
```

Density of states at the Fermi level, states/eV/cell: 10.765
Size of the total moment, μB/f.u.: 2.6
Mass density, g/cm3: 4.614

It turns out 1 is the most stable, with the second structure 1266 meV per atom higher.

## 1
The following is a PBE calculation of crystalline TaPt2I at its relaxed geometry, from Alexandria via LeMat-Bulk.

```
TaPt2I
1.0
6.753 0.000 0.000
0.000 6.753 0.000
0.000 0.000 9.058
Ta Pt I
4 8 4
direct
0.000 0.000 0.000 Ta
0.000 0.500 0.250 Ta
0.500 0.000 0.750 Ta
0.500 0.500 0.500 Ta
0.213 0.750 0.125 Pt
0.250 0.213 0.875 Pt
0.250 0.287 0.375 Pt
0.287 0.750 0.625 Pt
0.713 0.250 0.625 Pt
0.750 0.713 0.375 Pt
0.750 0.787 0.875 Pt
0.787 0.250 0.125 Pt
0.000 0.000 0.500 I
0.000 0.500 0.750 I
0.500 0.000 0.250 I
0.500 0.500 0.000 I
```

Density of states at the Fermi level, states/eV/cell: 1.281
Size of the total moment, μB/f.u.: 0.0
Mass density, g/cm3: 11.225

## 2
The following is a PBE calculation of crystalline TaPt2I at its relaxed geometry, from Alexandria via LeMat-Bulk.

```
TaPt2I
1.0
6.734 0.000 0.000
0.000 6.734 0.000
0.000 0.000 6.734
Ta Pt I
4 8 4
direct
0.000 0.000 0.000 Ta
0.000 0.500 0.500 Ta
0.500 0.000 0.500 Ta
0.500 0.500 0.000 Ta
0.250 0.250 0.250 Pt
0.250 0.250 0.750 Pt
0.250 0.750 0.250 Pt
0.250 0.750 0.750 Pt
0.750 0.250 0.250 Pt
0.750 0.250 0.750 Pt
0.750 0.750 0.250 Pt
0.750 0.750 0.750 Pt
0.000 0.000 0.500 I
0.000 0.500 0.000 I
0.500 0.000 0.000 I
0.500 0.500 0.500 I
```

Density of states at the Fermi level, states/eV/cell: 9.313
Size of the total moment, μB/f.u.: 0.0
Mass density, g/cm3: 15.182

It turns out 1 is the most stable, with the second structure 249 meV per atom higher.

## 1
The following is a PBE calculation of crystalline TaPtI at its relaxed geometry, from Alexandria via LeMat-Bulk.

```
TaPtI
1.0
3.692 0.000 0.000
0.000 4.501 0.000
-1.148 0.000 10.320
Ta Pt I
2 2 2
direct
0.075 0.250 0.120 Ta
0.925 0.750 0.880 Ta
0.393 0.750 0.070 Pt
0.607 0.250 0.930 Pt
0.311 0.750 0.665 I
0.689 0.250 0.335 I
```

Density of states at the Fermi level, states/eV/cell: 1.052
Size of the total moment, μB/f.u.: 0.0
Mass density, g/cm3: 9.740

## 2
The following is a PBE calculation of crystalline TaPtI at its relaxed geometry, from Alexandria via LeMat-Bulk.

```
TaPtI
1.0
3.485 0.000 0.000
0.000 3.485 0.000
0.000 0.000 24.162
Ta Pt I
4 4 4
direct
0.000 0.000 0.168 Ta
0.000 0.000 0.832 Ta
0.500 0.500 0.332 Ta
0.500 0.500 0.668 Ta
0.000 0.000 0.284 Pt
0.000 0.000 0.716 Pt
0.500 0.500 0.216 Pt
0.500 0.500 0.784 Pt
0.000 0.500 0.576 I
0.000 0.500 0.924 I
0.500 0.000 0.076 I
0.500 0.000 0.424 I
```

Density of states at the Fermi level, states/eV/cell: 9.079
Size of the total moment, μB/f.u.: 0.0
Mass density, g/cm3: 11.387

It turns out 1 is the most stable, with the second structure 7 meV per atom higher.